This record from Alexandria via LeMat-Bulk describes an optimized crystal structure of CaTbSnAu. The functional is PBE.

Output
The magnetization is 0.00 μB per cell. Its space group is F-43m (216). As for the formation energy: -0.752 eV/atom. The calculation puts the density of states at the Fermi level at 0.376 states/eV per atom.

abc: 5.262 5.262 5.262
angles: 60.00 60.00 60.00
Positions (direct):
Tb: 0.000 0.000 0.000
Ca: 0.500 0.500 0.500
Au: 0.750 0.750 0.750
Sn: 0.250 0.250 0.250